Entry 1:
The following is a DFT calculation (PBE) of a geometry-optimized LaTiGa2B structure.

Cell: 5.429 5.429 4.487 Å, 90.00 90.00 90.00°
Space group P4/mmm (No. 123)
Unique sites:
1 La 0.000 0.000 0.000
2 Ti 0.500 0.500 0.500
3 Ga 0.000 0.500 0.000
4 B 0.000 0.000 0.500

Computed properties:
Volume: 26.45 Å³/atom
Formation energy from the elements: 1526 meV/atom
Uncorrected energy: -3.585 eV/atom
D(E_F): 1.206 states/eV per atom

Entry 2:
The following is a DFT calculation (PBE) of a geometry-optimized LaTiGaB2 structure.

Cell: 4.551 4.551 5.368 Å, 90.00 90.00 90.00°
Space group P4/mmm (No. 123)
Unique sites:
1 La 0.000 0.000 0.000
2 Ti 0.500 0.500 0.500
3 Ga 0.000 0.000 0.500
4 B 0.000 0.500 0.000

Computed properties:
Volume: 22.24 Å³/atom
Formation energy from the elements: 1893 meV/atom
Uncorrected energy: -3.948 eV/atom
D(E_F): 1.121 states/eV per atom